[1]
! Gd2AgO4, optimized geometry, DFT PBE; values from VASP
&SYSTEM
  ibrav = 0, nat = 14, ntyp = 3
/
ATOMIC_SPECIES
Ag 107.87 Ag.upf
Gd 157.25 Gd.upf
O 16.00 O.upf
ATOMIC_POSITIONS angstrom
Ag 0.000 0.000 0.000
Ag -4.169 -0.381 0.025
Gd -2.113 -0.101 -3.404
Gd -1.801 -3.182 1.641
Gd -4.655 -2.498 3.393
Gd -1.830 -3.093 -1.775
O -0.768 -1.959 -3.465
O -3.284 -1.447 1.882
O -3.317 -1.349 -1.900
O -0.570 -2.245 -0.055
O -3.031 -4.119 3.337
O -0.343 -4.836 -1.651
O -2.892 -4.227 -0.086
O -0.318 -4.916 1.401
CELL_PARAMETERS angstrom
-5.709 1.368 3.503
-0.058 0.178 -6.833
0.567 -5.983 3.258
! Crystal system: cubic

***

[2]
! GdAgPbO3, optimized geometry, DFT PBE; values from VASP
&SYSTEM
  ibrav = 0, nat = 12, ntyp = 4
/
ATOMIC_SPECIES
Ag 107.87 Ag.upf
Gd 157.25 Gd.upf
O 16.00 O.upf
Pb 207.20 Pb.upf
ATOMIC_POSITIONS angstrom
Ag -1.229 6.939 1.211
Ag -6.930 -5.707 -0.091
Gd -0.750 0.476 -1.345
Gd -4.079 0.616 0.560
O -0.869 2.500 -0.561
O -1.611 4.877 0.694
O -3.217 2.598 0.782
O -4.942 -1.366 0.339
O -6.547 -3.645 0.426
O -7.289 -1.268 1.682
Pb -3.359 -4.545 -1.670
Pb -4.800 5.777 2.790
CELL_PARAMETERS angstrom
0.739 8.501 0.668
-2.238 -7.549 -3.358
-6.660 0.279 3.810
! Crystal system: orthorhombic

***

[3]
! GdAg3Pd4O12, optimized geometry, DFT PBE; values from VASP
&SYSTEM
  ibrav = 0, nat = 20, ntyp = 4
/
ATOMIC_SPECIES
Ag 107.87 Ag.upf
Gd 157.25 Gd.upf
O 16.00 O.upf
Pd 106.42 Pd.upf
ATOMIC_POSITIONS angstrom
Ag 0.000 0.000 3.855
Ag 0.000 3.855 0.000
Ag 3.855 0.000 0.000
Gd 0.000 0.000 0.000
O 2.547 -1.627 3.855
O 0.000 1.307 2.227
O 0.000 1.307 5.482
O -1.627 3.855 2.547
O 2.227 0.000 1.307
O 1.307 2.227 0.000
O 2.547 1.627 3.855
O 5.482 0.000 1.307
O 1.627 3.855 2.547
O 3.855 2.547 -1.627
O 3.855 2.547 1.627
O 1.307 5.482 0.000
Pd -1.927 1.927 1.927
Pd 1.927 -1.927 1.927
Pd 1.927 1.927 -1.927
Pd 1.927 1.927 1.927
CELL_PARAMETERS angstrom
-3.855 3.855 3.855
3.855 -3.855 3.855
3.855 3.855 -3.855
! Crystal system: cubic

***

Total DFT energy (no corrections) for every record listed, in sequence, given in eV/atom: -6.880, -5.220, -5.304.
Total magnetization for every record listed, in sequence, given in μB per cell: 2.00, 0.00, 0.00.